Computed, not measured: an optimized crystal structure of La3NdDy5 at the GGA-PBE level of DFT.

Structure (POSCAR):
```
La3NdDy5
1.0
8.7490 0.0000 0.0000
0.0000 8.7490 0.0000
-4.3745 -4.3745 7.9584
Dy La Nd
10 6 2
direct
0.3511 0.8511 0.2775
0.6489 0.1489 0.7225
0.5736 0.6489 0.7225
0.8511 0.9264 0.2775
0.1489 0.0736 0.7225
0.0000 0.0000 0.0000
0.5000 0.5000 0.0000
0.9264 0.4264 0.2775
0.4264 0.3511 0.2775
0.0736 0.5736 0.7225
0.6178 0.1178 0.0000
0.7500 0.7500 0.5000
0.1178 0.3822 0.0000
0.2500 0.2500 0.5000
0.8822 0.6178 0.0000
0.3822 0.8822 0.0000
0.7500 0.2500 0.5000
0.2500 0.7500 0.5000
```

Results
**Fermi-level density of states**: 22.71 states/eV/cell
**Energy of formation**: 0.234 eV/atom